Compound: La2MgAl4Pt3
Source: Alexandria
Functional: PBE-GGA
Structure: relaxed

Computed properties:
- Calculated formation energy: -0.94 eV/atom

Structure (POSCAR):
```
La2MgAl4Pt3
1.0
4.3156 0.0000 0.0000
0.0000 4.3156 0.0000
0.0000 0.0000 10.9722
La Mg Al Pt
2 1 4 3
direct
0.0000 0.5000 0.2378
0.5000 0.0000 0.7622
0.0000 0.0000 0.5000
0.0000 0.0000 0.0000
0.0000 0.5000 0.6439
0.5000 0.0000 0.3561
0.5000 0.5000 0.0000
0.0000 0.5000 0.8730
0.5000 0.0000 0.1270
0.5000 0.5000 0.5000
```

=====

Compound: ScCoMo2
Source: Alexandria
Functional: PBE-GGA
Structure: relaxed

Computed properties:
- Excess energy over the best structure of this formula in the dataset: 0.002 eV per atom
- Calculated formation energy: 0.02 eV/atom

Structure (POSCAR):
```
ScCoMo2
1.0
0.0000 3.1302 3.1302
3.1302 0.0000 3.1302
3.1302 3.1302 0.0000
Sc Co Mo
1 1 2
direct
0.0000 0.0000 0.0000
0.7500 0.7500 0.7500
0.2500 0.2500 0.2500
0.5000 0.5000 0.5000
```

=====

Compound: Ca2Zn3Ru
Source: Alexandria
Functional: PBE-GGA
Structure: relaxed

Computed properties:
- Excess energy over the best structure of this formula in the dataset: 0.000 eV per atom
- Calculated formation energy: -0.25 eV/atom

Structure (POSCAR):
```
Ca2Zn3Ru
1.0
4.6544 -2.7543 0.0000
4.6544 2.7543 0.0000
-3.0402 0.0000 4.4793
Ca Zn Ru
2 3 1
direct
0.1280 0.1280 0.3725
0.8720 0.8720 0.6275
0.0000 0.5000 0.0000
0.5000 0.0000 0.0000
0.5000 0.5000 0.5000
0.5000 0.5000 0.0000
```

=====

Compound: Ba4Ac2Bi3O2
Source: Alexandria
Functional: PBE-GGA
Structure: relaxed

Computed properties:
- E_form (uncorrected): -1.538 eV per atom

Structure (POSCAR):
```
Ba4Ac2Bi3O2
1.0
-2.6427 2.6427 14.2727
2.6427 -2.6427 14.2727
2.6427 2.6427 -14.2727
Ba Ac Bi O
4 2 3 2
direct
0.0835 0.5835 0.5000
0.4165 0.9165 0.5000
0.5835 0.0835 0.5000
0.9165 0.4165 0.5000
0.1938 0.1938 0.0000
0.8062 0.8062 0.0000
0.3186 0.3186 0.0000
0.5000 0.5000 0.0000
0.6814 0.6814 0.0000
0.1132 0.1132 0.0000
0.8868 0.8868 0.0000
```

=====

Compound: Pu4BiIr
Source: Alexandria
Functional: PBE-GGA
Structure: relaxed

Computed properties:
- Calculated formation energy: -0.21 eV/atom

Structure (POSCAR):
```
Pu4BiIr
1.0
3.1550 -2.7862 0.0000
3.1550 2.7862 0.0000
-1.8041 0.0000 8.9108
Pu Bi Ir
4 1 1
direct
0.0406 0.0406 0.1819
0.4114 0.4114 0.6326
0.5886 0.5886 0.3674
0.9594 0.9594 0.8181
0.5000 0.5000 0.0000
0.0000 0.0000 0.5000
```

=====

Compound: SmTi2H
Source: Alexandria
Functional: PBE-GGA
Structure: relaxed

Computed properties:
- E: -23.186 eV/cell

Structure (POSCAR):
```
SmTi2H
1.0
1.5377 0.8878 8.1819
-1.5377 0.8878 8.1819
0.0000 -1.7756 8.1819
Sm Ti H
1 2 1
direct
0.0000 0.0000 0.0000
0.1212 0.1212 0.1212
0.8788 0.8788 0.8788
0.5000 0.5000 0.5000
```